Computed, not measured: a relaxed Sm4Sn crystal at the PBE-GGA level of DFT.

Results
Formation energy from the elements in eV/atom: 0.24
DFT total energy in Ry/atom: -0.3187
V in Å³ per cell: 202.9
SG: Pm-3m

Lattice parameters (Å, degrees): 5.8762 5.8762 5.8762 90.00 90.00 90.00
Atoms (fractional coordinates):
Sm: 0.0000 0.0000 0.0000
Sm: 0.0000 0.5000 0.5000
Sm: 0.5000 0.0000 0.5000
Sm: 0.5000 0.5000 0.0000
Sn: 0.5000 0.5000 0.5000


Computed, not measured: a relaxed Ba3CdRh3 crystal at the PBE-GGA level of DFT.

Results
Formation energy from the elements in eV/atom: -0.22
DFT total energy in Ry/atom: -0.3180
V in Å³ per cell: 390.8
SG: Cmcm

Lattice parameters (Å, degrees): 6.2261 6.2261 14.5004 90.00 90.00 135.96
Atoms (fractional coordinates):
Ba: 0.9997 0.0003 0.2500
Ba: 0.0003 0.9997 0.7500
Ba: 0.2845 0.7155 0.6064
Ba: 0.2845 0.7155 0.8936
Ba: 0.7155 0.2845 0.1064
Ba: 0.7155 0.2845 0.3936
Cd: 0.0000 0.0000 0.0000
Cd: 0.0000 0.0000 0.5000
Rh: 0.3140 0.6860 0.2500
Rh: 0.4277 0.5723 0.0901
Rh: 0.4277 0.5723 0.4099
Rh: 0.5723 0.4277 0.5901
Rh: 0.5723 0.4277 0.9099
Rh: 0.6860 0.3140 0.7500


Computed, not measured: a relaxed RbMnTcRu2 crystal at the PBE-GGA level of DFT.

Results
Formation energy from the elements in eV/atom: 2.07
DFT total energy in Ry/atom: -0.4218
V in Å³ per cell: 100.4
SG: P4/mmm

Lattice parameters (Å, degrees): 4.4980 4.4980 4.9612 90.00 90.00 90.00
Atoms (fractional coordinates):
Rb: 0.0000 0.0000 0.0000
Mn: 0.0000 0.0000 0.5000
Tc: 0.5000 0.5000 0.0000
Ru: 0.0000 0.5000 0.5000
Ru: 0.5000 0.0000 0.5000


Computed, not measured: a relaxed PmAgPd2O4 crystal at the PBE-GGA level of DFT.

Results
DFT total energy in Ry/atom: -0.4332
V in Å³ per cell: 110.6
Formation energy from raw total energies in eV per atom: -1.166
SG: P4/mmm

Lattice parameters (Å, degrees): 4.0141 4.0141 6.8655 90.00 90.00 90.00
Atoms (fractional coordinates):
Pm: 0.0000 0.0000 0.0000
Ag: 0.0000 0.0000 0.5000
Pd: 0.5000 0.5000 0.2781
Pd: 0.5000 0.5000 0.7219
O: 0.0000 0.5000 0.2115
O: 0.0000 0.5000 0.7885
O: 0.5000 0.0000 0.2115
O: 0.5000 0.0000 0.7885


Computed, not measured: a relaxed Y3HgPd4 crystal at the PBE-GGA level of DFT.

Results
Formation energy from the elements in eV/atom: -0.76
DFT total energy in Ry/atom: -0.4279
V in Å³ per cell: 166.1
SG: P4/mmm

Lattice parameters (Å, degrees): 4.8815 4.8815 6.9720 90.00 90.00 90.00
Atoms (fractional coordinates):
Y: 0.0000 0.0000 0.0000
Y: 0.0000 0.0000 0.5000
Y: 0.5000 0.5000 0.0000
Hg: 0.5000 0.5000 0.5000
Pd: 0.0000 0.5000 0.2442
Pd: 0.0000 0.5000 0.7558
Pd: 0.5000 0.0000 0.2442
Pd: 0.5000 0.0000 0.7558


Computed, not measured: a relaxed MnGeAu6 crystal at the PBE-GGA level of DFT.

Results
Formation energy from the elements in eV/atom: 0.01
DFT total energy in Ry/atom: -0.3069
V in Å³ per cell: 143.3
SG: I4/mmm

Lattice parameters (Å, degrees): 6.9050 6.9050 6.9050 138.45 138.45 60.21
Atoms (fractional coordinates):
Mn: 0.0000 0.0000 0.0000
Ge: 0.5000 0.5000 0.0000
Au: 0.1205 0.6205 0.5000
Au: 0.2445 0.2445 0.0000
Au: 0.3795 0.8795 0.5000
Au: 0.6205 0.1205 0.5000
Au: 0.7555 0.7555 0.0000
Au: 0.8795 0.3795 0.5000


Computed, not measured: a relaxed Nd2Ho3Ir2 crystal at the PBE-GGA level of DFT.

Results
Formation energy from the elements in eV/atom: -0.60
DFT total energy in Ry/atom: -0.4742
V in Å³ per cell: 189.4
SG: C2/m

Lattice parameters (Å, degrees): 6.4320 6.4320 9.0432 115.65 115.65 34.62
Atoms (fractional coordinates):
Nd: 0.1656 0.1656 0.3057
Nd: 0.8344 0.8344 0.6943
Ho: 0.3795 0.3795 0.0693
Ho: 0.5000 0.5000 0.5000
Ho: 0.6205 0.6205 0.9307
Ir: 0.1717 0.1717 0.7413
Ir: 0.8283 0.8283 0.2587


Computed, not measured: a relaxed TbPmMg crystal at the PBE-GGA level of DFT.

Results
Formation energy from the elements in eV/atom: 0.20
Polymorph energy (0 for the lowest one) in meV/atom: 250
DFT total energy in Ry/atom: -0.2542
V in Å³ per cell: 186.2
SG: P4/nmm

Lattice parameters (Å, degrees): 4.7141 4.7141 8.3784 90.00 90.00 90.00
Atoms (fractional coordinates):
Tb: 0.2500 0.2500 0.2238
Tb: 0.7500 0.7500 0.7762
Pm: 0.2500 0.2500 0.8046
Pm: 0.7500 0.7500 0.1954
Mg: 0.2500 0.7500 0.5000
Mg: 0.7500 0.2500 0.5000


Computed, not measured: a relaxed Ac6Os2Br crystal at the PBE-GGA level of DFT.

Results
DFT total energy in Ry/atom: -0.4189
V in Å³ per cell: 360.4
Formation energy from raw total energies in eV per atom: -0.279
SG: C2/m

Lattice parameters (Å, degrees): 7.3652 7.3652 12.3263 107.71 107.71 34.66
Atoms (fractional coordinates):
Ac: 0.0247 0.0247 0.2801
Ac: 0.3059 0.3059 0.8838
Ac: 0.3230 0.3230 0.4149
Ac: 0.6770 0.6770 0.5851
Ac: 0.6941 0.6941 0.1162
Ac: 0.9753 0.9753 0.7199
Os: 0.3313 0.3313 0.6686
Os: 0.6687 0.6687 0.3314
Br: 0.0000 0.0000 0.0000


Computed, not measured: a relaxed NaLa3Ir crystal at the PBE-GGA level of DFT.

Results
Formation energy from the elements in eV/atom: 0.39
Polymorph energy (0 for the lowest one) in meV/atom: 714
DFT total energy in Ry/atom: -0.3383
V in Å³ per cell: 357.3
SG: Cmcm

Lattice parameters (Å, degrees): 9.9801 9.9801 5.9459 90.00 90.00 142.90
Atoms (fractional coordinates):
Na: 0.1921 0.8079 0.7500
Na: 0.8079 0.1921 0.2500
La: 0.0000 0.0000 0.0000
La: 0.0000 0.0000 0.5000
La: 0.1270 0.3956 0.7500
La: 0.3956 0.1270 0.2500
La: 0.6044 0.8730 0.7500
La: 0.8730 0.6044 0.2500
Ir: 0.4857 0.5143 0.7500
Ir: 0.5143 0.4857 0.2500


Computed, not measured: a relaxed Ce6SiHg crystal at the PBE-GGA level of DFT.

Results
DFT total energy in Ry/atom: -0.3961
V in Å³ per cell: 203.1
Formation energy from raw total energies in eV per atom: -0.223
SG: P4/mmm

Lattice parameters (Å, degrees): 4.6528 4.6528 9.3822 90.00 90.00 90.00
Atoms (fractional coordinates):
Ce: 0.0000 0.0000 0.0000
Ce: 0.0000 0.0000 0.5000
Ce: 0.0000 0.5000 0.2322
Ce: 0.0000 0.5000 0.7678
Ce: 0.5000 0.0000 0.2322
Ce: 0.5000 0.0000 0.7678
Si: 0.5000 0.5000 0.0000
Hg: 0.5000 0.5000 0.5000


Computed, not measured: a relaxed Th2CoSi crystal at the PBE-GGA level of DFT.

Results
Polymorph energy (0 for the lowest one) in meV/atom: 905
DFT total energy in Ry/atom: -0.4752
V in Å³ per cell: 109.7
Formation energy from raw total energies in eV per atom: 0.377
SG: R-3m

Lattice parameters (Å, degrees): 8.8575 8.8575 8.8575 25.06 25.06 25.06
Atoms (fractional coordinates):
Th: 0.0946 0.0946 0.0946
Th: 0.9054 0.9054 0.9054
Co: 0.0000 0.0000 0.0000
Si: 0.5000 0.5000 0.5000


Computed, not measured: a relaxed PrSmAu3 crystal at the PBE-GGA level of DFT.

Results
Formation energy from the elements in eV/atom: -0.79
DFT total energy in Ry/atom: -0.3419
V in Å³ per cell: 249.1
SG: Cmcm

Lattice parameters (Å, degrees): 14.3992 14.3992 4.6504 90.00 90.00 165.03
Atoms (fractional coordinates):
Pr: 0.0720 0.9280 0.7500
Pr: 0.9280 0.0720 0.2500
Sm: 0.2055 0.7945 0.2500
Sm: 0.7945 0.2055 0.7500
Au: 0.3161 0.6839 0.2500
Au: 0.3782 0.6218 0.7500
Au: 0.4745 0.5255 0.7500
Au: 0.5255 0.4745 0.2500
Au: 0.6218 0.3782 0.2500
Au: 0.6839 0.3161 0.7500


Computed, not measured: a relaxed TbHO2 crystal at the PBE-GGA level of DFT.

Results
DFT total energy in Ry/atom: -0.5173
V in Å³ per cell: 50.4
SG: R-3m

Lattice parameters (Å, degrees): 5.0388 5.0388 5.0388 41.35 41.35 41.35
Atoms (fractional coordinates):
Tb: 0.0000 0.0000 0.0000
H: 0.5000 0.5000 0.5000
O: 0.4114 0.4114 0.4114
O: 0.5886 0.5886 0.5886


Computed, not measured: a relaxed HgPtSe2 crystal at the PBE-GGA level of DFT.

Results
Polymorph energy (0 for the lowest one) in meV/atom: 596
DFT total energy in Ry/atom: -0.2223
V in Å³ per cell: 109.5
Formation energy from raw total energies in eV per atom: 0.303
SG: R-3m

Lattice parameters (Å, degrees): 8.1235 8.1235 8.1235 28.73 28.73 28.73
Atoms (fractional coordinates):
Hg: 0.0000 0.0000 0.0000
Pt: 0.5000 0.5000 0.5000
Se: 0.4008 0.4008 0.4008
Se: 0.5992 0.5992 0.5992


Computed, not measured: a relaxed BaLaV3 crystal at the PBE-GGA level of DFT.

Results
Formation energy from the elements in eV/atom: 1.54
Polymorph energy (0 for the lowest one) in meV/atom: 0
DFT total energy in Ry/atom: -0.3897
V in Å³ per cell: 143.9
SG: Pm-3m

Lattice parameters (Å, degrees): 5.2398 5.2398 5.2398 90.00 90.00 90.00
Atoms (fractional coordinates):
Ba: 0.0000 0.0000 0.0000
La: 0.5000 0.5000 0.5000
V: 0.0000 0.5000 0.5000
V: 0.5000 0.0000 0.5000
V: 0.5000 0.5000 0.0000


Computed, not measured: a relaxed SrSn4Te6 crystal at the PBE-GGA level of DFT.

Results
DFT total energy in Ry/atom: -0.2761
V in Å³ per cell: 397.1
Formation energy from raw total energies in eV per atom: -0.435
SG: P1

Lattice parameters (Å, degrees): 6.5303 6.5628 9.8749 80.45 72.10 86.88
Atoms (fractional coordinates):
Sr: 0.0000 0.0000 0.0000
Sn: 0.1519 0.5329 0.6600
Sn: 0.3360 0.1537 0.2923
Sn: 0.6531 0.0338 0.6622
Sn: 0.8159 0.6194 0.3239
Te: 0.0469 0.5020 0.9615
Te: 0.1940 0.0817 0.6432
Te: 0.3444 0.6873 0.3282
Te: 0.4912 0.9260 0.0261
Te: 0.6924 0.5784 0.6383
Te: 0.8313 0.1600 0.3341


Computed, not measured: a relaxed ErThCd4 crystal at the PBE-GGA level of DFT.

Results
Formation energy from the elements in eV/atom: -0.23
Polymorph energy (0 for the lowest one) in meV/atom: 0
DFT total energy in Ry/atom: -0.2088
V in Å³ per cell: 149.6
SG: P2/m

Lattice parameters (Å, degrees): 3.3949 5.0308 8.7574 90.00 90.06 90.00
Atoms (fractional coordinates):
Er: 0.0000 0.0000 0.0000
Th: 0.0000 0.5000 0.5000
Cd: 0.4983 0.0000 0.3263
Cd: 0.4999 0.5000 0.1611
Cd: 0.5001 0.5000 0.8389
Cd: 0.5017 0.0000 0.6737


Computed, not measured: a relaxed TbPmPr2Mg crystal at the PBE-GGA level of DFT.

Results
Formation energy from the elements in eV/atom: 0.15
DFT total energy in Ry/atom: -0.2909
V in Å³ per cell: 332.8
SG: Pmma

Lattice parameters (Å, degrees): 6.0068 7.4327 7.4530 90.00 90.00 90.00
Atoms (fractional coordinates):
Tb: 0.2500 0.0000 0.1314
Tb: 0.7500 0.0000 0.8686
Pm: 0.2500 0.5000 0.3470
Pm: 0.7500 0.5000 0.6530
Pr: 0.2500 0.2820 0.8127
Pr: 0.2500 0.7180 0.8127
Pr: 0.7500 0.2820 0.1873
Pr: 0.7500 0.7180 0.1873
Mg: 0.0000 0.0000 0.5000
Mg: 0.5000 0.0000 0.5000


Computed, not measured: a relaxed Sc4ZnCo2Rh crystal at the PBE-GGA level of DFT.

Results
Formation energy from the elements in eV/atom: -0.51
DFT total energy in Ry/atom: -0.4798
V in Å³ per cell: 131.8
SG: R-3m

Lattice parameters (Å, degrees): 7.8708 7.8708 7.8708 33.43 33.43 33.43
Atoms (fractional coordinates):
Sc: 0.1228 0.1228 0.1228
Sc: 0.3735 0.3735 0.3735
Sc: 0.6265 0.6265 0.6265
Sc: 0.8772 0.8772 0.8772
Zn: 0.5000 0.5000 0.5000
Co: 0.2494 0.2494 0.2494
Co: 0.7506 0.7506 0.7506
Rh: 0.0000 0.0000 0.0000